#i
Below is a relaxed SrGe2Br crystal, with properties calculated at the GGA-PBE level.

Structure (CIF):
```
data_SrGe2Br
_chemical_formula_sum 'Sr4 Ge8 Br4'
_space_group_name_H-M_alt 'F m -3 m'
_space_group_IT_number 225
_space_group_name_Hall '-F 4 2 3'
_cell_length_a 7.559
_cell_length_b 7.559
_cell_length_c 7.559
_cell_angle_alpha 90.00
_cell_angle_beta 90.00
_cell_angle_gamma 90.00
loop_
_atom_site_label
_atom_site_type_symbol
_atom_site_fract_x
_atom_site_fract_y
_atom_site_fract_z
Sr1 Sr 0.000 0.000 0.000
Ge1 Ge 0.250 0.250 0.250
Br1 Br 0.000 0.000 0.500
```

Calculated density   4811 kg/m³
DOS at the Fermi energy   0.607 states/eV/atom
Size of the total moment   0.00 μB/cell

***

#ii
Below is a relaxed SrGe2Br crystal, with properties calculated at the GGA-PBE level.

Structure (CIF):
```
data_SrGe2Br
_chemical_formula_sum 'Sr4 Ge8 Br4'
_space_group_name_H-M_alt 'I -4 2 d'
_space_group_IT_number 122
_space_group_name_Hall 'I -4 2bw'
_cell_length_a 10.006
_cell_length_b 10.006
_cell_length_c 5.474
_cell_angle_alpha 90.00
_cell_angle_beta 90.00
_cell_angle_gamma 90.00
loop_
_atom_site_label
_atom_site_type_symbol
_atom_site_fract_x
_atom_site_fract_y
_atom_site_fract_z
Sr1 Sr 0.000 0.000 0.000
Ge1 Ge 0.245 0.750 0.625
Br1 Br 0.000 0.000 0.500
```

Calculated density   3791 kg/m³
DOS at the Fermi energy   0.871 states/eV/atom
Size of the total moment   0.00 μB/cell

***

Q: Which of them is the most stable? A: #ii.

***

#i
Below is a relaxed Sr2GeBr crystal, with properties calculated at the GGA-PBE level.

Structure (CIF):
```
data_Sr2GeBr
_chemical_formula_sum 'Sr6 Ge3 Br3'
_space_group_name_H-M_alt 'R -3 m'
_space_group_IT_number 166
_space_group_name_Hall '-R 3 2"'
_cell_length_a 4.4568
_cell_length_b 4.4568
_cell_length_c 24.0013
_cell_angle_alpha 90.00
_cell_angle_beta 90.00
_cell_angle_gamma 120.00
loop_
_atom_site_label
_atom_site_type_symbol
_atom_site_fract_x
_atom_site_fract_y
_atom_site_fract_z
Sr1 Sr 0.0000 0.0000 0.2420
Ge1 Ge 0.0000 0.0000 0.5000
Br1 Br 0.0000 0.0000 0.0000
```

Calculated density   3955 kg/m³
DOS at the Fermi energy   0.608 states/eV/atom
Size of the total moment   0.00 μB/cell

***

#ii
Below is a relaxed Sr2GeBr crystal, with properties calculated at the GGA-PBE level.

Structure (CIF):
```
data_Sr2GeBr
_chemical_formula_sum 'Sr8 Ge4 Br4'
_space_group_name_H-M_alt 'C 1 2/m 1'
_space_group_IT_number 12
_space_group_name_Hall '-C 2y'
_cell_length_a 13.183
_cell_length_b 6.420
_cell_length_c 6.460
_cell_angle_alpha 90.00
_cell_angle_beta 106.99
_cell_angle_gamma 90.00
loop_
_atom_site_label
_atom_site_type_symbol
_atom_site_fract_x
_atom_site_fract_y
_atom_site_fract_z
Sr1 Sr 0.123 0.000 0.426
Sr2 Sr 0.145 0.500 0.922
Ge1 Ge 0.095 0.000 0.930
Br1 Br 0.129 0.500 0.413
```

Calculated density   4164 kg/m³
DOS at the Fermi energy   0.044 states/eV/atom
Size of the total moment   0.00 μB/cell

***

#iii
Below is a relaxed Sr2GeBr crystal, with properties calculated at the GGA-PBE level.

Structure (CIF):
```
data_Sr2GeBr
_chemical_formula_sum 'Sr6 Ge3 Br3'
_space_group_name_H-M_alt 'R 3 m'
_space_group_IT_number 160
_space_group_name_Hall 'R 3 -2"'
_cell_length_a 4.3945
_cell_length_b 4.3945
_cell_length_c 24.9197
_cell_angle_alpha 90.00
_cell_angle_beta 90.00
_cell_angle_gamma 120.00
loop_
_atom_site_label
_atom_site_type_symbol
_atom_site_fract_x
_atom_site_fract_y
_atom_site_fract_z
Sr1 Sr 0.0000 0.0000 0.0000
Sr2 Sr 0.0000 0.0000 0.1854
Ge1 Ge 0.0000 0.0000 0.5926
Br1 Br 0.0000 0.0000 0.4222
```

Calculated density   3918 kg/m³
DOS at the Fermi energy   0.554 states/eV/atom
Size of the total moment   0.00 μB/cell

***

#iv
Below is a relaxed Sr2GeBr crystal, with properties calculated at the GGA-PBE level.

Structure (CIF):
```
data_Sr2GeBr
_chemical_formula_sum 'Sr2 Ge1 Br1'
_space_group_name_H-M_alt 'P 4/m m m'
_space_group_IT_number 123
_space_group_name_Hall '-P 4 2'
_cell_length_a 3.834
_cell_length_b 3.834
_cell_length_c 8.401
_cell_angle_alpha 90.00
_cell_angle_beta 90.00
_cell_angle_gamma 90.00
loop_
_atom_site_label
_atom_site_type_symbol
_atom_site_fract_x
_atom_site_fract_y
_atom_site_fract_z
Sr1 Sr 0.000 0.000 0.221
Ge1 Ge 0.500 0.500 0.000
Br1 Br 0.500 0.500 0.500
```

Calculated density   4408 kg/m³
DOS at the Fermi energy   0.389 states/eV/atom
Size of the total moment   0.00 μB/cell

***

Q: Which of them is the most stable? A: #ii.

***

#i
Below is a relaxed SrGe3Br crystal, with properties calculated at the GGA-PBE level.

Structure (CIF):
```
data_SrGe3Br
_chemical_formula_sum 'Sr1 Ge3 Br1'
_space_group_name_H-M_alt 'P m -3 m'
_space_group_IT_number 221
_space_group_name_Hall '-P 4 2 3'
_cell_length_a 5.282
_cell_length_b 5.282
_cell_length_c 5.282
_cell_angle_alpha 90.00
_cell_angle_beta 90.00
_cell_angle_gamma 90.00
loop_
_atom_site_label
_atom_site_type_symbol
_atom_site_fract_x
_atom_site_fract_y
_atom_site_fract_z
Sr1 Sr 0.000 0.000 0.000
Ge1 Ge 0.000 0.500 0.500
Br1 Br 0.500 0.500 0.500
```

Calculated density   4343 kg/m³
DOS at the Fermi energy   0.989 states/eV/atom
Size of the total moment   0.00 μB/cell

***

#ii
Below is a relaxed SrGe3Br crystal, with properties calculated at the GGA-PBE level.

Structure (CIF):
```
data_SrGe3Br
_chemical_formula_sum 'Sr1 Ge3 Br1'
_space_group_name_H-M_alt 'P m -3 m'
_space_group_IT_number 221
_space_group_name_Hall '-P 4 2 3'
_cell_length_a 5.893
_cell_length_b 5.893
_cell_length_c 5.893
_cell_angle_alpha 90.00
_cell_angle_beta 90.00
_cell_angle_gamma 90.00
loop_
_atom_site_label
_atom_site_type_symbol
_atom_site_fract_x
_atom_site_fract_y
_atom_site_fract_z
Sr1 Sr 0.000 0.000 0.000
Ge1 Ge 0.000 0.000 0.500
Br1 Br 0.500 0.500 0.500
```

Calculated density   3127 kg/m³
DOS at the Fermi energy   1.960 states/eV/atom
Size of the total moment   3.27 μB/cell

***

Q: Which of them is the most stable? A: #i.

***

#i
Below is a relaxed SrGeBr3 crystal, with properties calculated at the GGA-PBE level.

Structure (CIF):
```
data_SrGeBr3
_chemical_formula_sum 'Sr1 Ge1 Br3'
_space_group_name_H-M_alt 'P m -3 m'
_space_group_IT_number 221
_space_group_name_Hall '-P 4 2 3'
_cell_length_a 5.894
_cell_length_b 5.894
_cell_length_c 5.894
_cell_angle_alpha 90.00
_cell_angle_beta 90.00
_cell_angle_gamma 90.00
loop_
_atom_site_label
_atom_site_type_symbol
_atom_site_fract_x
_atom_site_fract_y
_atom_site_fract_z
Sr1 Sr 0.000 0.000 0.000
Ge1 Ge 0.500 0.500 0.500
Br1 Br 0.000 0.000 0.500
```

Calculated density   3244 kg/m³
DOS at the Fermi energy   0.773 states/eV/atom
Size of the total moment   1.00 μB/cell

***

#ii
Below is a relaxed SrGeBr3 crystal, with properties calculated at the GGA-PBE level.

Structure (CIF):
```
data_SrGeBr3
_chemical_formula_sum 'Sr1 Ge1 Br3'
_space_group_name_H-M_alt 'P m -3 m'
_space_group_IT_number 221
_space_group_name_Hall '-P 4 2 3'
_cell_length_a 5.542
_cell_length_b 5.542
_cell_length_c 5.542
_cell_angle_alpha 90.00
_cell_angle_beta 90.00
_cell_angle_gamma 90.00
loop_
_atom_site_label
_atom_site_type_symbol
_atom_site_fract_x
_atom_site_fract_y
_atom_site_fract_z
Sr1 Sr 0.000 0.000 0.000
Ge1 Ge 0.500 0.500 0.500
Br1 Br 0.000 0.500 0.500
```

Calculated density   3901 kg/m³
DOS at the Fermi energy   0.642 states/eV/atom
Size of the total moment   0.00 μB/cell

***

Q: Which of them is the most stable? A: #ii.

***

#i
Below is a relaxed TaGe3Br crystal, with properties calculated at the GGA-PBE level.

Structure (CIF):
```
data_TaGe3Br
_chemical_formula_sum 'Ta1 Ge3 Br1'
_space_group_name_H-M_alt 'P m -3 m'
_space_group_IT_number 221
_space_group_name_Hall '-P 4 2 3'
_cell_length_a 5.103
_cell_length_b 5.103
_cell_length_c 5.103
_cell_angle_alpha 90.00
_cell_angle_beta 90.00
_cell_angle_gamma 90.00
loop_
_atom_site_label
_atom_site_type_symbol
_atom_site_fract_x
_atom_site_fract_y
_atom_site_fract_z
Ta1 Ta 0.000 0.000 0.000
Ge1 Ge 0.000 0.000 0.500
Br1 Br 0.500 0.500 0.500
```

Calculated density   5983 kg/m³
DOS at the Fermi energy   1.416 states/eV/atom
Size of the total moment   0.00 μB/cell

***

#ii
Below is a relaxed TaGe3Br crystal, with properties calculated at the GGA-PBE level.

Structure (CIF):
```
data_TaGe3Br
_chemical_formula_sum 'Ta1 Ge3 Br1'
_space_group_name_H-M_alt 'P m -3 m'
_space_group_IT_number 221
_space_group_name_Hall '-P 4 2 3'
_cell_length_a 4.940
_cell_length_b 4.940
_cell_length_c 4.940
_cell_angle_alpha 90.00
_cell_angle_beta 90.00
_cell_angle_gamma 90.00
loop_
_atom_site_label
_atom_site_type_symbol
_atom_site_fract_x
_atom_site_fract_y
_atom_site_fract_z
Ta1 Ta 0.000 0.000 0.000
Ge1 Ge 0.000 0.500 0.500
Br1 Br 0.500 0.500 0.500
```

Calculated density   6595 kg/m³
DOS at the Fermi energy   0.916 states/eV/atom
Size of the total moment   0.00 μB/cell

***

Q: Which of them is the most stable? A: #i.